Crystalline Ni2AgAu at its relaxed geometry. Source: Alexandria via LeMat-Bulk, functional GGA-PBE.

POSCAR file:
```
Ni2AgAu
1.0
-0.3436 -4.1027 3.2473
3.4576 -0.4446 3.9169
-3.8304 2.7536 -2.2893
Ag Ni Au
1 2 1
Direct
0.5126 0.5126 0.0000
0.7691 0.2691 0.5000
0.9828 0.9828 0.0000
0.2355 0.7355 0.5000
```

Computed properties:
space-group type	Imm2
DFT formation energy	0.19	eV per atom
crystal system	orthorhombic